Compound: Pr2NdSm8
Source: Alexandria
Functional: PBE-GGA
Structure: optimized geometry

It has space group C2/m (No. 12), with a = 18.5828 Å, b = 5.1608 Å, c = 8.1642 Å, α = 90.00°, β = 105.25° and γ = 90.00°. The distinct sites, in fractional coordinates, are Pr at (0.2272, 0.0000, 0.1371), Nd at (0.0000, 0.5000, 0.5000), Sm at (0.0449, 0.0000, 0.2270), Sm at (0.0902, 0.5000, 0.9546), Sm at (0.1359, 0.0000, 0.6800) and Sm at (0.1816, 0.5000, 0.4085).

The value obtained for the theoretical density is 7.16 g cm⁻³. The formation energy comes out at 0.015 eV per atom. The polymorph energy (0 for the lowest one) is 0.000 eV/atom.